Record 1
## NdGdBeZn (PBE)

Data for an optimized crystal structure of NdGdBeZn.

Results
Volume, Å³/cell: 91
VASP energy, Ry/atom: -0.4431
Total moment, μB per atom: 1.9678
Crystal system: cubic

POSCAR file:
```
NdGdBeZn
1.0
5.054 0.000 0.000
2.527 4.377 0.000
2.527 1.459 4.127
Gd Be Nd Zn
1 1 1 1
Direct
0.750 0.750 0.750
0.000 0.000 0.000
0.250 0.250 0.250
0.500 0.500 0.500
```

***

Record 2
## Na2LiCuP2O7 (PBE)

Data for an optimized crystal structure of Na2LiCuP2O7.

Results
Volume, Å³/cell: 352
VASP energy, Ry/atom: -0.4534
Total moment, μB per atom: 0.0084
Crystal system: monoclinic
Formation energy (no corrections), eV per atom: -2.001

POSCAR file:
```
Na2LiCuP2O7
1.0
2.831 6.996 -0.360
-2.831 6.996 -0.360
0.000 2.925 8.724
O P Na Li Cu
14 4 4 2 2
Direct
0.194 0.636 0.770
0.948 0.763 0.560
0.361 0.295 0.617
0.572 0.428 0.000
0.652 0.697 0.849
0.303 0.348 0.151
0.364 0.806 0.230
0.912 0.385 0.071
0.615 0.088 0.929
0.777 0.003 0.169
0.705 0.639 0.383
0.237 0.052 0.440
0.997 0.223 0.831
0.398 0.602 0.500
0.788 0.436 0.938
0.424 0.786 0.386
0.214 0.576 0.614
0.564 0.212 0.062
0.337 0.028 0.992
0.970 0.408 0.582
0.592 0.030 0.418
0.972 0.663 0.008
0.019 0.338 0.269
0.662 0.981 0.731
0.072 0.898 0.201
0.102 0.928 0.799
```

***

Record 3
## Cd3Ag5Sn12 (PBE)

Data for an optimized crystal structure of Cd3Ag5Sn12.

Results
Volume, Å³/cell: 2313
VASP energy, Ry/atom: -0.2268
Total moment, μB per atom: 0.0000
Crystal system: cubic

POSCAR file:
```
Cd3Ag5Sn12
1.0
14.431 0.000 0.000
-4.810 13.605 0.000
-4.810 -6.803 11.783
Sn Cd Ag
48 12 20
Direct
0.072 0.170 0.442
0.942 0.371 0.272
0.099 0.928 0.371
0.170 0.072 0.942
0.599 0.728 0.670
0.572 0.629 0.401
0.330 0.558 0.428
0.558 0.228 0.129
0.272 0.401 0.830
0.772 0.442 0.371
0.772 0.330 0.901
0.928 0.099 0.871
0.401 0.272 0.330
0.228 0.558 0.629
0.442 0.772 0.871
0.599 0.871 0.428
0.942 0.572 0.170
0.272 0.871 0.942
0.129 0.728 0.558
0.728 0.599 0.170
0.901 0.830 0.772
0.428 0.371 0.599
0.371 0.428 0.099
0.058 0.629 0.728
0.871 0.272 0.442
0.058 0.428 0.830
0.871 0.599 0.928
0.558 0.330 0.928
0.072 0.901 0.129
0.371 0.942 0.772
0.928 0.830 0.558
0.572 0.942 0.670
0.830 0.901 0.272
0.330 0.772 0.401
0.901 0.072 0.629
0.228 0.670 0.099
0.170 0.099 0.728
0.629 0.058 0.228
0.670 0.228 0.599
0.099 0.170 0.228
0.830 0.928 0.058
0.728 0.129 0.058
0.129 0.401 0.072
0.629 0.572 0.901
0.442 0.670 0.072
0.401 0.129 0.572
0.428 0.058 0.330
0.670 0.442 0.572
0.625 0.375 0.750
0.375 0.625 0.250
0.125 0.250 0.875
0.875 0.125 0.250
0.375 0.750 0.625
0.750 0.375 0.125
0.250 0.625 0.875
0.750 0.875 0.625
0.125 0.875 0.750
0.625 0.250 0.375
0.250 0.125 0.375
0.875 0.750 0.125
0.875 0.250 0.625
0.000 0.500 0.000
0.500 0.500 0.500
0.875 0.625 0.750
0.000 0.500 0.500
0.750 0.125 0.875
0.500 0.000 0.000
0.375 0.125 0.750
0.000 0.000 0.000
0.125 0.375 0.250
0.625 0.750 0.875
0.250 0.375 0.625
0.500 0.500 0.000
0.500 0.000 0.500
0.375 0.250 0.125
0.750 0.625 0.375
0.000 0.000 0.500
0.250 0.875 0.125
0.125 0.750 0.375
0.625 0.875 0.250
```

***

Record 4
## CoMoIr2 (PBE)

Data for an optimized crystal structure of CoMoIr2.

Results
Volume, Å³/cell: 56
ΔE to the lowest computed polymorph, eV/atom: 0.0372
VASP energy, Ry/atom: -0.6661
Total moment, μB per atom: 0.4147
Crystal system: orthorhombic

POSCAR file:
```
CoMoIr2
1.0
-0.051 -0.100 2.739
-1.441 -3.462 -0.153
5.033 -2.096 0.017
Ir Mo Co
2 1 1
Direct
0.000 0.000 0.990
0.000 0.000 0.510
0.500 0.500 0.250
0.500 0.500 0.750
```

***

Record 5
## LaPm4HoTm2 (PBE)

Data for an optimized crystal structure of LaPm4HoTm2.

Results
Volume, Å³/cell: 266
VASP energy, Ry/atom: -0.3423
Total moment, μB per atom: 0.0000
Crystal system: monoclinic

POSCAR file:
```
LaPm4HoTm2
1.0
5.110 0.000 0.000
2.555 5.665 -0.581
2.555 -0.155 9.199
Tm La Ho Pm
2 1 1 4
Direct
0.246 0.253 0.254
0.754 0.747 0.746
0.000 0.000 0.000
0.500 0.500 0.500
0.376 0.375 0.873
0.126 0.126 0.623
0.624 0.625 0.127
0.874 0.874 0.377
```

***

Record 6
## TlSbPO2 (PBE)

Data for an optimized crystal structure of TlSbPO2.

Results
Volume, Å³/cell: 93
ΔE to the lowest computed polymorph, eV/atom: 0.8463
VASP energy, Ry/atom: -0.2938
Total moment, μB per atom: 0.0000
Crystal system: tetragonal
Formation energy (no corrections), eV per atom: 0.366

POSCAR file:
```
TlSbPO2
1.0
-3.919 1.032 1.173
-0.421 -3.748 1.891
1.861 2.027 4.432
O P Sb Tl
2 1 1 1
Direct
0.000 0.500 0.000
0.500 0.000 0.000
0.000 0.000 0.500
0.500 0.500 0.500
0.000 0.000 0.000
```

***

The highest volume belongs to which entry? Cd3Ag5Sn12

***

Which of these has the lowest VASP energy? CoMoIr2